Material: Tb2Be3AlNi12
Method: DFT, PBE-GGA
State: optimized geometry

Cell lengths 6.7168, 6.7168, 6.7168 Å; angles 67.97, 67.97, 67.97 degrees
Positions (direct):
Tb (0.1051, 0.1051, 0.1051)
Tb (0.8949, 0.8949, 0.8949)
Be (0.0000, 0.5000, 0.5000)
Be (0.5000, 0.0000, 0.5000)
Be (0.5000, 0.5000, 0.0000)
Al (0.5000, 0.5000, 0.5000)
Ni (0.1196, 0.6374, 0.6374)
Ni (0.1584, 0.1584, 0.5920)
Ni (0.1584, 0.5920, 0.1584)
Ni (0.3626, 0.3626, 0.8804)
Ni (0.3626, 0.8804, 0.3626)
Ni (0.4080, 0.8416, 0.8416)
Ni (0.5920, 0.1584, 0.1584)
Ni (0.6374, 0.1196, 0.6374)
Ni (0.6374, 0.6374, 0.1196)
Ni (0.8416, 0.4080, 0.8416)
Ni (0.8416, 0.8416, 0.4080)
Ni (0.8804, 0.3626, 0.3626)

Properties
Its uncorrected energy is -5.04 eV per atom.

=====

Material: Tb2Be2AlNi5
Method: DFT, PBE-GGA
State: optimized geometry

Cell lengths 9.0933, 9.0933, 3.3009 Å; angles 90.00, 90.00, 90.00 degrees
Positions (direct):
Tb (0.1812, 0.3188, 0.0000)
Tb (0.3188, 0.8188, 0.0000)
Tb (0.6812, 0.1812, 0.0000)
Tb (0.8188, 0.6812, 0.0000)
Be (0.1130, 0.6130, 0.0000)
Be (0.3870, 0.1130, 0.0000)
Be (0.6130, 0.8870, 0.0000)
Be (0.8870, 0.3870, 0.0000)
Al (0.0000, 0.0000, 0.0000)
Al (0.5000, 0.5000, 0.0000)
Ni (0.0000, 0.5000, 0.5000)
Ni (0.0641, 0.7798, 0.5000)
Ni (0.2202, 0.0641, 0.5000)
Ni (0.2798, 0.5641, 0.5000)
Ni (0.4359, 0.2798, 0.5000)
Ni (0.5000, 0.0000, 0.5000)
Ni (0.5641, 0.7202, 0.5000)
Ni (0.7202, 0.4359, 0.5000)
Ni (0.7798, 0.9359, 0.5000)
Ni (0.9359, 0.2202, 0.5000)

Properties
Its uncorrected energy is -5.35 eV per atom.

=====

Material: Th2BeAlNi6
Method: DFT, PBE-GGA
State: optimized geometry

Cell lengths 5.8707, 5.8707, 7.6608 Å; angles 125.09, 125.09, 50.65 degrees
Positions (direct):
Th (0.2396, 0.2396, 0.2812)
Th (0.7604, 0.7604, 0.7188)
Be (0.5000, 0.5000, 0.0000)
Al (0.0000, 0.0000, 0.5000)
Ni (0.2494, 0.7312, 0.2325)
Ni (0.2540, 0.2540, 0.9127)
Ni (0.2688, 0.7506, 0.7675)
Ni (0.7312, 0.2494, 0.2325)
Ni (0.7460, 0.7460, 0.0873)
Ni (0.7506, 0.2688, 0.7675)

Properties
Its uncorrected energy is -6.11 eV per atom.

=====

Material: Ti2Be2AlNi5
Method: DFT, PBE-GGA
State: optimized geometry

Cell lengths 8.4893, 8.4893, 3.1993 Å; angles 90.00, 90.00, 90.00 degrees
Positions (direct):
Ti (0.1771, 0.3229, 0.0000)
Ti (0.3229, 0.8229, 0.0000)
Ti (0.6771, 0.1771, 0.0000)
Ti (0.8229, 0.6771, 0.0000)
Be (0.1179, 0.6179, 0.0000)
Be (0.3821, 0.1179, 0.0000)
Be (0.6179, 0.8821, 0.0000)
Be (0.8821, 0.3821, 0.0000)
Al (0.0000, 0.0000, 0.0000)
Al (0.5000, 0.5000, 0.0000)
Ni (0.0000, 0.5000, 0.5000)
Ni (0.0688, 0.7863, 0.5000)
Ni (0.2137, 0.0688, 0.5000)
Ni (0.2863, 0.5688, 0.5000)
Ni (0.4312, 0.2863, 0.5000)
Ni (0.5000, 0.0000, 0.5000)
Ni (0.5688, 0.7137, 0.5000)
Ni (0.7137, 0.4312, 0.5000)
Ni (0.7863, 0.9312, 0.5000)
Ni (0.9312, 0.2137, 0.5000)

Properties
Its uncorrected energy is -6.04 eV per atom.

=====

Material: BeAlTl2Ni
Method: DFT, PBE-GGA
State: optimized geometry

Cell lengths 5.0395, 5.0395, 4.5721 Å; angles 90.00, 90.00, 90.00 degrees
Positions (direct):
Be (0.0000, 0.0000, 0.0000)
Al (0.5000, 0.5000, 0.0000)
Tl (0.0000, 0.5000, 0.5000)
Tl (0.5000, 0.0000, 0.5000)
Ni (0.5000, 0.5000, 0.5000)

Properties
Its uncorrected energy is -3.00 eV per atom.

=====

Material: TmBeAlNi
Method: DFT, PBE-GGA
State: optimized geometry

Cell lengths 4.3923, 4.3923, 4.3923 Å; angles 60.00, 60.00, 60.00 degrees
Positions (direct):
Tm (0.0000, 0.0000, 0.0000)
Be (0.2500, 0.2500, 0.2500)
Al (0.5000, 0.5000, 0.5000)
Ni (0.7500, 0.7500, 0.7500)

Properties
Its uncorrected energy is -4.75 eV per atom.

=====

Material: Tm2Be12AlNi3
Method: DFT, PBE-GGA
State: optimized geometry

Cell lengths 6.9005, 6.9005, 6.9005 Å; angles 63.58, 63.58, 63.58 degrees
Positions (direct):
Tm (0.0944, 0.0944, 0.0944)
Tm (0.9056, 0.9056, 0.9056)
Be (0.1317, 0.6333, 0.6333)
Be (0.1609, 0.1609, 0.4658)
Be (0.1609, 0.4658, 0.1609)
Be (0.3667, 0.3667, 0.8683)
Be (0.3667, 0.8683, 0.3667)
Be (0.4658, 0.1609, 0.1609)
Be (0.5342, 0.8391, 0.8391)
Be (0.6333, 0.1317, 0.6333)
Be (0.6333, 0.6333, 0.1317)
Be (0.8391, 0.5342, 0.8391)
Be (0.8391, 0.8391, 0.5342)
Be (0.8683, 0.3667, 0.3667)
Al (0.5000, 0.5000, 0.5000)
Ni (0.0000, 0.5000, 0.5000)
Ni (0.5000, 0.0000, 0.5000)
Ni (0.5000, 0.5000, 0.0000)

Properties
Its uncorrected energy is -3.69 eV per atom.

=====

Material: Tm2BeAl2Ni5
Method: DFT, PBE-GGA
State: optimized geometry

Cell lengths 9.8990, 9.8990, 2.9086 Å; angles 90.00, 90.00, 90.00 degrees
Positions (direct):
Tm (0.1708, 0.3292, 0.0000)
Tm (0.3292, 0.8292, 0.0000)
Tm (0.6708, 0.1708, 0.0000)
Tm (0.8292, 0.6708, 0.0000)
Be (0.0000, 0.0000, 0.0000)
Be (0.5000, 0.5000, 0.0000)
Al (0.1328, 0.6328, 0.0000)
Al (0.3672, 0.1328, 0.0000)
Al (0.6328, 0.8672, 0.0000)
Al (0.8672, 0.3672, 0.0000)
Ni (0.0000, 0.5000, 0.5000)
Ni (0.0506, 0.8186, 0.5000)
Ni (0.1814, 0.0506, 0.5000)
Ni (0.3186, 0.5506, 0.5000)
Ni (0.4494, 0.3186, 0.5000)
Ni (0.5000, 0.0000, 0.5000)
Ni (0.5506, 0.6814, 0.5000)
Ni (0.6814, 0.4494, 0.5000)
Ni (0.8186, 0.9494, 0.5000)
Ni (0.9494, 0.1814, 0.5000)

Properties
Its uncorrected energy is -5.22 eV per atom.

=====

Question: Which value of uncorrected energy does entry 7 give?
Answer: -3.69 eV per atom

=====

Please write out number 6 again, unchanged.
Material: TmBeAlNi
Method: DFT, PBE-GGA
State: optimized geometry

Cell lengths 4.3923, 4.3923, 4.3923 Å; angles 60.00, 60.00, 60.00 degrees
Positions (direct):
Tm (0.0000, 0.0000, 0.0000)
Be (0.2500, 0.2500, 0.2500)
Al (0.5000, 0.5000, 0.5000)
Ni (0.7500, 0.7500, 0.7500)

Properties
Its uncorrected energy is -4.75 eV per atom.

=====

Question: Among the records above, which one has the lowest uncorrected energy?
Answer: Th2BeAlNi6